CdCoIr2: relaxed, PBE.

a = 4.821 Å, b = 4.821 Å, c = 2.760 Å
α = 90.00°, β = 90.00°, γ = 110.93°
Last column: magnetic moment on the atom in μB.
Element x y z (fractional)
Cd (0.500, 0.000, 0.500)  -0.01
Co (0.000, 0.500, 0.500)  1.39
Ir (0.000, 0.000, 0.000)  0.10
Ir (0.500, 0.500, 0.000)  0.10

Total moment (μB per atom): 0.387
ΔH_f (0 K) (eV per atom): 0.368
V (Å³ per atom): 14.979